# La3Cu5F12

A relaxed La3Cu5F12 crystal (PBE, Alexandria via LeMat-Bulk).

abc: 11.754 11.754 11.754
angles: 109.47 109.47 109.47
Site moments in Bohr magnetons follow the coordinates.
Fractional positions:
Cu 0.875 0.250 0.625  0.00
Cu 0.500 0.000 0.000  0.00
Cu 0.500 0.500 0.000  0.00
Cu 0.250 0.875 0.125  0.00
Cu 0.750 0.125 0.875  0.00
Cu 0.250 0.375 0.625  0.00
Cu 0.625 0.875 0.250  0.00
Cu 0.000 0.500 0.000  0.00
Cu 0.000 0.000 0.000  0.00
Cu 0.875 0.625 0.750  0.00
Cu 0.625 0.750 0.875  0.00
Cu 0.500 0.000 0.500  0.00
Cu 0.125 0.375 0.250  0.00
Cu 0.125 0.750 0.375  0.00
Cu 0.500 0.500 0.500  0.00
Cu 0.375 0.125 0.750  0.00
Cu 0.375 0.250 0.125  0.00
Cu 0.750 0.625 0.375  0.00
Cu 0.000 0.000 0.500  0.00
Cu 0.000 0.500 0.500  0.00
F 0.420 0.362 0.587  0.00
F 0.942 0.362 0.275  0.00
F 0.725 0.587 0.166  0.00
F 0.087 0.920 0.362  0.00
F 0.834 0.920 0.058  0.00
F 0.080 0.166 0.442  0.00
F 0.362 0.420 0.087  0.00
F 0.580 0.942 0.666  0.00
F 0.420 0.058 0.334  0.00
F 0.138 0.725 0.558  0.00
F 0.942 0.580 0.166  0.00
F 0.862 0.275 0.442  0.00
F 0.275 0.862 0.942  0.00
F 0.225 0.558 0.638  0.00
F 0.587 0.725 0.666  0.00
F 0.580 0.638 0.413  0.00
F 0.666 0.225 0.587  0.00
F 0.087 0.166 0.225  0.00
F 0.725 0.138 0.058  0.00
F 0.138 0.413 0.080  0.00
F 0.413 0.275 0.334  0.00
F 0.166 0.080 0.942  0.00
F 0.666 0.442 0.580  0.00
F 0.362 0.942 0.775  0.00
F 0.413 0.138 0.580  0.00
F 0.442 0.775 0.862  0.00
F 0.587 0.862 0.420  0.00
F 0.166 0.087 0.725  0.00
F 0.775 0.334 0.913  0.00
F 0.058 0.420 0.834  0.00
F 0.334 0.775 0.413  0.00
F 0.080 0.913 0.138  0.00
F 0.862 0.587 0.920  0.00
F 0.913 0.834 0.775  0.00
F 0.775 0.442 0.362  0.00
F 0.334 0.558 0.420  0.00
F 0.920 0.087 0.862  0.00
F 0.558 0.225 0.138  0.00
F 0.558 0.334 0.920  0.00
F 0.638 0.580 0.913  0.00
F 0.058 0.638 0.725  0.00
F 0.638 0.058 0.225  0.00
F 0.225 0.666 0.087  0.00
F 0.913 0.080 0.638  0.00
F 0.275 0.413 0.834  0.00
F 0.920 0.834 0.558  0.00
F 0.442 0.666 0.080  0.00
F 0.834 0.913 0.275  0.00
La 0.750 0.375 0.125  -0.12
La 0.625 0.250 0.375  -0.12
La 0.750 0.875 0.625  -0.12
La 0.125 0.250 0.875  -0.12
La 0.375 0.750 0.625  -0.12
La 0.375 0.625 0.250  -0.12
La 0.125 0.875 0.750  -0.12
La 0.875 0.125 0.250  -0.12
La 0.250 0.125 0.375  -0.12
La 0.625 0.375 0.750  -0.12
La 0.250 0.625 0.875  -0.12
La 0.875 0.750 0.125  -0.12

Results
Calculated total energy: -418.4 eV for the cell shown

***

# LaCuF2

A relaxed LaCuF2 crystal (PBE, Alexandria via LeMat-Bulk).

abc: 4.858 4.858 8.340
angles: 73.07 73.07 90.00
Fractional positions:
F 0.977 0.625 0.250
F 0.773 0.125 0.250
F 0.375 0.227 0.750
F 0.875 0.023 0.750
La 0.000 0.000 0.000
La 0.750 0.250 0.500
Cu 0.500 0.500 0.000
Cu 0.250 0.750 0.500

Results
Offset from the most stable computed form: 0 meV per atom

***

# LaCuF2

A relaxed LaCuF2 crystal (PBE, Alexandria via LeMat-Bulk).

abc: 8.865 8.865 8.865
angles: 22.37 22.37 22.37
Fractional positions:
F 0.111 0.111 0.111
F 0.889 0.889 0.889
Cu 0.000 0.000 0.000
La 0.500 0.500 0.500

Results
Offset from the most stable computed form: 303 meV per atom

***

# La2Cu2F

A relaxed La2Cu2F crystal (PBE, Alexandria via LeMat-Bulk).

abc: 7.246 7.246 4.404
angles: 90.00 90.00 90.00
Fractional positions:
F 0.000 0.000 0.000
F 0.500 0.500 0.000
La 0.319 0.819 0.000
La 0.819 0.681 0.000
La 0.181 0.319 0.000
La 0.681 0.181 0.000
Cu 0.617 0.883 0.500
Cu 0.117 0.617 0.500
Cu 0.883 0.383 0.500
Cu 0.383 0.117 0.500

Results
Calculated total energy: -49.4 eV for the cell shown